No. 1
A relaxed Hg2OsPb crystal. Source: the Alexandria database, functional PBE.

D(E_F): 3.88 states/eV per cell
density: 14886 kg/m³
E: -3.124 eV per atom

Unit cell a=3.105 b=3.105 c=9.240 alpha=90.00 beta=90.00 gamma=90.00
Last column: magnetic moment on the atom in μB.
Sites, in units of the cell vectors:
Hg  0.000  0.000  0.046  0.02
Hg  0.000  0.000  0.454  0.02
Os  0.500  0.500  0.250  1.10
Pb  0.500  0.500  0.750  0.01

No. 2
A relaxed RbGe3C crystal. Source: the Alexandria database, functional PBE.

D(E_F): 6.32 states/eV per cell
density: 2645 kg/m³
energy relative to the lowest polymorph listed for this composition: 1901 meV/atom

Unit cell a=5.828 b=5.828 c=5.828 alpha=90.00 beta=90.00 gamma=90.00
Last column: magnetic moment on the atom in μB.
Sites, in units of the cell vectors:
Ge  0.000  0.500  0.000  -0.26
Ge  0.000  0.000  0.500  -0.20
Ge  0.500  0.000  0.000  -0.29
C  0.500  0.500  0.500  0.89
Rb  0.000  0.000  0.000  -0.09

No. 3
A relaxed ZnW3 crystal. Source: the Alexandria database, functional PBE.

D(E_F): 4.39 states/eV per cell
density: 15942 kg/m³
energy relative to the lowest polymorph listed for this composition: 254 meV/atom

Unit cell a=2.783 b=2.783 c=9.579 alpha=90.00 beta=90.00 gamma=120.00
Sites, in units of the cell vectors:
W  0.000  0.000  0.993
W  0.000  0.000  0.507
W  0.333  0.667  0.250
Zn  0.333  0.667  0.750

No. 4
A relaxed Ac2La2Y5 crystal. Source: the Alexandria database, functional PBE.

D(E_F): 14.55 states/eV per cell
density: 5714 kg/m³
E: -5.329 eV per atom

Unit cell a=3.630 b=8.411 c=13.281 alpha=121.35 beta=97.85 gamma=90.00
Sites, in units of the cell vectors:
Ac  0.551  0.756  0.103
Ac  0.449  0.244  0.897
La  0.814  0.773  0.627
La  0.186  0.227  0.373
Y  0.692  0.847  0.384
Y  0.308  0.153  0.616
Y  0.900  0.546  0.801
Y  0.100  0.454  0.199
Y  0.000  0.000  0.000

No. 5
A relaxed YAs2Pt crystal. Source: the Alexandria database, functional PBE.

D(E_F): 1.78 states/eV per cell
density: 8019 kg/m³
E: -6.103 eV per atom

Unit cell a=4.396 b=3.849 c=5.509 alpha=74.51 beta=90.00 gamma=90.00
Sites, in units of the cell vectors:
Y  0.500  0.692  0.773
As  0.000  0.121  0.941
As  0.500  0.392  0.310
Pt  0.000  0.295  0.475

No. 6
A relaxed CaS2N crystal. Source: the Alexandria database, functional PBE.

D(E_F): 0.10 states/eV per cell
density: 2397 kg/m³
E: -4.490 eV per atom

Unit cell a=5.571 b=5.571 c=6.585 alpha=64.97 beta=64.97 gamma=90.00
Last column: magnetic moment on the atom in μB.
Sites, in units of the cell vectors:
Ca  0.000  0.000  0.000  0.02
Ca  0.750  0.250  0.500  0.02
S  0.496  0.125  0.250  0.07
S  0.254  0.625  0.250  0.06
S  0.375  0.504  0.750  0.07
S  0.875  0.746  0.750  0.07
N  0.500  0.500  0.000  0.49
N  0.250  0.750  0.500  0.49